[1]
VASP calculation (PBE) on crystalline Li8Zn2Si at its relaxed geometry.

Output
The raw formation energy is -0.072 eV/atom. The calculated total energy is -48.1 eV/cell.

The structure in CIF format:
```
data_Li8Zn2Si
_cell_length_a 7.3863
_cell_length_b 12.1470
_cell_length_c 4.4806
_cell_angle_alpha 90.00
_cell_angle_beta 109.22
_cell_angle_gamma 90.00
_space_group_name_H-M_alt 'C 1 2/m 1'
_space_group_IT_number 12
loop_
_space_group_symop_operation_xyz
'x,y,z'
'-x,-y,-z'
'-x,y,-z'
'x,-y,z'
'x+1/2,y+1/2,z'
'-x+1/2,-y+1/2,-z'
'-x+1/2,y+1/2,-z'
'x+1/2,-y+1/2,z'
loop_
_atom_site_label
_atom_site_type_symbol
_atom_site_fract_x
_atom_site_fract_y
_atom_site_fract_z
_atom_site_occupancy
Li1 Li 0.0000 0.2118 0.0000 1
Li2 Li 0.1328 0.5000 0.8310 1
Li3 Li 0.1851 0.1081 0.5977 1
Zn1 Zn 0.0000 0.3195 0.5000 1
Si1 Si 0.0000 0.0000 0.0000 1
```


[2]
VASP calculation (PBE) on crystalline LiZn2Si2 at its relaxed geometry.

Output
The raw formation energy is 0.040 eV/atom. The calculated total energy is -30.2 eV/cell.

The structure in CIF format:
```
data_LiZn2Si2
_cell_length_a 3.7510
_cell_length_b 3.7510
_cell_length_c 11.7336
_cell_angle_alpha 90.00
_cell_angle_beta 90.00
_cell_angle_gamma 90.00
_space_group_name_H-M_alt 'I 4/m m m'
_space_group_IT_number 139
_space_group_name_Hall '-I 4 2'
loop_
_atom_site_label
_atom_site_type_symbol
_atom_site_fract_x
_atom_site_fract_y
_atom_site_fract_z
_atom_site_occupancy
Li1 Li 0.0000 0.0000 0.0000 1
Zn1 Zn 0.0000 0.0000 0.3973 1
Si1 Si 0.0000 0.5000 0.2500 1
```